(1)
This record from Alexandria via LeMat-Bulk describes crystalline Ca2Tb2Hg3 at its relaxed geometry. The functional is PBE.

Properties
formation enthalpy at 0 K	-0.3689	eV/atom
crystal system	trigonal
total magnetization	0.00	μB/f.u.
symmetry	R-3m
N(E_F)	6.013	states/eV per cell

The structure in extended XYZ format:
```
7
Lattice="-0.671 -5.224 0.320 4.869 2.035 -0.068 -1.280 3.339 8.310" Properties=species:S:1:pos:R:3 pbc="T T T"
Ca 1.754 2.886 7.281
Ca 1.163 -2.736 1.281
Tb 2.955 -0.050 5.394
Tb -0.038 0.199 3.168
Hg -0.078 0.391 6.217
Hg 0.000 0.000 0.000
Hg 2.995 -0.241 2.345
```



(2)
This record from Alexandria via LeMat-Bulk describes crystalline Ca3TbHg6 at its relaxed geometry. The functional is PBE.

Properties
formation enthalpy at 0 K	-0.4689	eV/atom
crystal system	monoclinic
total magnetization	0.00	μB/f.u.
symmetry	P2_1/m
N(E_F)	10.189	states/eV per cell

The structure in extended XYZ format:
```
20
Lattice="5.248 0.000 0.000 0.000 8.818 -2.695 0.000 0.213 11.201" Properties=species:S:1:pos:R:3 pbc="T T T"
Hg 1.312 4.056 -0.183
Tb 3.936 0.606 4.196
Hg 1.312 5.871 6.100
Ca 3.936 2.057 -0.613
Hg 3.936 6.843 3.499
Hg 1.312 2.187 5.007
Hg 3.936 4.974 8.689
Ca 1.312 6.973 9.119
Hg 1.312 7.563 1.265
Ca 1.312 4.762 2.975
Hg 1.312 0.730 9.899
Hg 1.312 1.318 1.826
Ca 3.936 4.269 5.531
Hg 3.936 3.160 2.405
Ca 1.312 3.263 7.981
Hg 3.936 1.467 7.240
Ca 3.936 5.768 0.525
Tb 1.312 8.425 4.310
Hg 3.936 8.301 -1.393
Hg 3.936 7.713 6.679
```



(3)
This record from Alexandria via LeMat-Bulk describes crystalline CaTb2Hg8 at its relaxed geometry. The functional is PBE.

Properties
formation enthalpy at 0 K	-0.3232	eV/atom
excess energy over the best structure of this formula in the dataset	11	meV per atom
crystal system	orthorhombic
total magnetization	0.00	μB/f.u.
symmetry	Immm
N(E_F)	5.684	states/eV per cell

The structure in extended XYZ format:
```
11
Lattice="4.908 0.000 -1.490 -0.884 6.544 -2.910 -0.031 -0.101 8.726" Properties=species:S:1:pos:R:3 pbc="T T T"
Tb 0.313 4.478 1.030
Hg 2.415 5.650 -0.872
Tb 3.681 1.964 3.296
Hg -0.624 4.627 -2.056
Hg 0.630 1.010 2.076
Hg 1.578 0.792 5.198
Hg 4.618 1.816 6.382
Hg 1.194 3.643 3.932
Hg 3.363 5.433 2.250
Ca 2.454 0.000 -0.745
Hg 2.800 2.800 0.394
```



(4)
This record from Alexandria via LeMat-Bulk describes crystalline CaTbHg2 at its relaxed geometry. The functional is PBE.

Properties
formation enthalpy at 0 K	-0.5378	eV/atom
crystal system	cubic
total magnetization	0.00	μB/f.u.
symmetry	Fm-3m
N(E_F)	2.951	states/eV per cell

The structure in extended XYZ format:
```
4
Lattice="-4.111 2.400 2.341 -4.483 0.829 -2.712 -4.366 -2.771 1.183" Properties=species:S:1:pos:R:3 pbc="T T T"
Tb -9.720 0.344 0.609
Ca -3.240 0.115 0.203
Hg 0.000 0.000 0.000
Hg -6.480 0.229 0.406
```



(5)
This record from Alexandria via LeMat-Bulk describes crystalline Ca3TbHg2 at its relaxed geometry. The functional is PBE.

Properties
formation enthalpy at 0 K	-0.3597	eV/atom
crystal system	orthorhombic
total magnetization	0.00	μB/f.u.
symmetry	Pmc2_1
N(E_F)	12.682	states/eV per cell

The structure in extended XYZ format:
```
12
Lattice="-5.103 -0.165 -0.592 0.723 -5.332 -4.753 -0.630 -6.555 7.257" Properties=species:S:1:pos:R:3 pbc="T T T"
Ca 0.660 -5.591 -4.135
Ca -0.250 -8.630 4.558
Ca 0.179 -8.949 0.946
Ca -2.190 -4.812 -2.102
Hg -2.569 -9.545 2.489
Ca -2.949 -6.290 4.862
Hg -2.482 -2.206 -0.309
Hg 0.331 -6.572 -1.024
Hg -0.196 -5.624 3.253
Tb -2.809 -3.123 2.770
Ca 0.046 -3.908 0.693
Tb -2.522 -6.564 1.251
```



(6)
This record from Alexandria via LeMat-Bulk describes crystalline CaTb5Hg6 at its relaxed geometry. The functional is PBE.

Properties
formation enthalpy at 0 K	-0.5002	eV/atom
crystal system	orthorhombic
total magnetization	0.00	μB/f.u.
symmetry	Cmmm
N(E_F)	9.845	states/eV per cell

The structure in extended XYZ format:
```
12
Lattice="5.021 -0.030 1.673 0.040 7.477 0.013 0.000 -0.015 8.370" Properties=species:S:1:pos:R:3 pbc="T T T"
Hg 4.204 5.560 4.224
Hg 2.540 5.550 0.847
Hg 2.521 1.897 0.840
Tb 3.364 3.708 6.713
Tb 1.683 -0.015 3.318
Hg 4.184 1.857 4.218
Tb 1.697 3.723 3.344
Tb 3.337 -0.030 6.725
Hg 0.857 1.872 5.832
Hg 0.877 5.575 5.839
Ca 0.000 0.000 0.000
Tb 0.020 3.738 0.007
```